Computed, not measured: a PBEsol-optimized structure of Y2ReAu at the SCAN level of DFT.

**Fermi-level density of states**: 6.435 states/eV/cell
**DFT formation energy**: -0.343 eV per atom

Cell: 6.903 6.903 6.903 Å, 90.00 90.00 90.00°
Space group Fm-3m (No. 225)
Symmetry-distinct sites (fractional):
Y: 0.250 0.250 0.250
Re: 0.000 0.000 0.000
Au: 0.000 0.000 0.500